A plane-wave DFT calculation with PBE was carried out for a relaxed structure of Nd2AlZn4Ag3.

Calculated values
Formation energy: -0.26 eV per atom

Structure (CIF):
```
data_Nd2AlZn4Ag3
_chemical_formula_sum 'Nd2 Al1 Zn4 Ag3'
_cell_length_a 4.197
_cell_length_b 4.197
_cell_length_c 11.659
_cell_angle_alpha 90.00
_cell_angle_beta 90.00
_cell_angle_gamma 90.00
_space_group_name_H-M_alt 'P 1'
_space_group_IT_number 1
loop_
_space_group_symop_operation_xyz
'x,y,z'
loop_
_atom_site_label
_atom_site_fract_x
_atom_site_fract_y
_atom_site_fract_z
_atom_site_occupancy
Nd1 0.000 0.500 0.244 1
Nd2 0.500 0.000 0.756 1
Al1 0.500 0.500 0.000 1
Zn1 0.000 0.000 0.500 1
Zn2 0.000 0.500 0.864 1
Zn3 0.500 0.000 0.136 1
Zn4 0.500 0.500 0.500 1
Ag1 0.000 0.000 0.000 1
Ag2 0.000 0.500 0.642 1
Ag3 0.500 0.000 0.358 1
```

A plane-wave DFT calculation with PBE was carried out for a relaxed structure of CaUPa2As4.

Calculated values
Formation energy: -1.00 eV per atom

Structure (CIF):
```
data_CaUPa2As4
_chemical_formula_sum 'Ca1 U1 Pa2 As4'
_cell_length_a 7.117
_cell_length_b 4.119
_cell_length_c 7.187
_cell_angle_alpha 90.00
_cell_angle_beta 109.41
_cell_angle_gamma 90.00
_space_group_name_H-M_alt 'P 1'
_space_group_IT_number 1
loop_
_space_group_symop_operation_xyz
'x,y,z'
loop_
_atom_site_label
_atom_site_fract_x
_atom_site_fract_y
_atom_site_fract_z
_atom_site_occupancy
Ca1 0.000 0.000 0.000 1
U1 0.000 0.500 0.500 1
Pa1 0.500 0.000 0.500 1
Pa2 0.500 0.500 0.000 1
As1 0.252 0.000 0.749 1
As2 0.257 0.500 0.255 1
As3 0.743 0.500 0.745 1
As4 0.748 0.000 0.251 1
```

A plane-wave DFT calculation with PBE was carried out for a relaxed structure of PrDy7Ho12.

Calculated values
Formation energy: 0.31 eV per atom

Structure (CIF):
```
data_PrDy7Ho12
_chemical_formula_sum 'Pr1 Dy7 Ho12'
_cell_length_a 8.659
_cell_length_b 8.659
_cell_length_c 8.659
_cell_angle_alpha 95.19
_cell_angle_beta 95.19
_cell_angle_gamma 95.19
_space_group_name_H-M_alt 'P 1'
_space_group_IT_number 1
loop_
_space_group_symop_operation_xyz
'x,y,z'
loop_
_atom_site_label
_atom_site_fract_x
_atom_site_fract_y
_atom_site_fract_z
_atom_site_occupancy
Pr1 0.000 0.000 0.000 1
Dy1 0.015 0.081 0.352 1
Dy2 0.081 0.352 0.015 1
Dy3 0.352 0.015 0.081 1
Dy4 0.500 0.500 0.500 1
Dy5 0.648 0.985 0.919 1
Dy6 0.919 0.648 0.985 1
Dy7 0.985 0.919 0.648 1
Ho1 0.146 0.413 0.476 1
Ho2 0.190 0.749 0.320 1
Ho3 0.251 0.680 0.810 1
Ho4 0.320 0.190 0.749 1
Ho5 0.413 0.476 0.146 1
Ho6 0.476 0.146 0.413 1
Ho7 0.524 0.854 0.587 1
Ho8 0.587 0.524 0.854 1
Ho9 0.680 0.810 0.251 1
Ho10 0.749 0.320 0.190 1
Ho11 0.810 0.251 0.680 1
Ho12 0.854 0.587 0.524 1
```

A plane-wave DFT calculation with PBE was carried out for a relaxed structure of Cs2OsBr5Cl.

Calculated values
Uncorrected formation energy: -976 meV per atom

Structure (CIF):
```
data_Cs2OsBr5Cl
_chemical_formula_sum 'Cs2 Os1 Br5 Cl1'
_cell_length_a 7.737
_cell_length_b 7.737
_cell_length_c 7.737
_cell_angle_alpha 120.10
_cell_angle_beta 120.10
_cell_angle_gamma 89.83
_space_group_name_H-M_alt 'P 1'
_space_group_IT_number 1
loop_
_space_group_symop_operation_xyz
'x,y,z'
loop_
_atom_site_label
_atom_site_fract_x
_atom_site_fract_y
_atom_site_fract_z
_atom_site_occupancy
Cs1 0.000 0.500 0.500 1
Cs2 0.500 0.000 0.500 1
Os1 0.250 0.250 0.000 1
Br1 0.020 0.020 0.539 1
Br2 0.020 0.481 0.000 1
Br3 0.021 0.021 0.000 1
Br4 0.481 0.020 0.000 1
Br5 0.481 0.481 0.461 1
Cl1 0.465 0.465 0.000 1
```

A plane-wave DFT calculation with PBE was carried out for a relaxed structure of LiPr2Ni3H12.

Structure (CIF):
```
data_LiPr2Ni3H12
_chemical_formula_sum 'Li1 Pr2 Ni3 H12'
_cell_length_a 5.987
_cell_length_b 5.987
_cell_length_c 5.987
_cell_angle_alpha 59.41
_cell_angle_beta 59.41
_cell_angle_gamma 59.41
_space_group_name_H-M_alt 'P 1'
_space_group_IT_number 1
loop_
_space_group_symop_operation_xyz
'x,y,z'
loop_
_atom_site_label
_atom_site_fract_x
_atom_site_fract_y
_atom_site_fract_z
_atom_site_occupancy
Li1 0.000 0.000 0.000 1
Pr1 0.385 0.385 0.385 1
Pr2 0.615 0.615 0.615 1
Ni1 0.000 0.000 0.500 1
Ni2 0.000 0.500 0.000 1
Ni3 0.500 0.000 0.000 1
H1 0.111 0.111 0.606 1
H2 0.111 0.606 0.111 1
H3 0.128 0.693 0.693 1
H4 0.307 0.307 0.872 1
H5 0.307 0.872 0.307 1
H6 0.394 0.889 0.889 1
H7 0.606 0.111 0.111 1
H8 0.693 0.128 0.693 1
H9 0.693 0.693 0.128 1
H10 0.872 0.307 0.307 1
H11 0.889 0.394 0.889 1
H12 0.889 0.889 0.394 1
```

A plane-wave DFT calculation with PBE was carried out for a relaxed structure of Ca2CuBr.

Calculated values
Uncorrected formation energy: -678 meV per atom

Structure (CIF):
```
data_Ca2CuBr
_chemical_formula_sum 'Ca2 Cu1 Br1'
_cell_length_a 3.802
_cell_length_b 3.663
_cell_length_c 8.175
_cell_angle_alpha 90.00
_cell_angle_beta 91.03
_cell_angle_gamma 90.00
_space_group_name_H-M_alt 'P 1'
_space_group_IT_number 1
loop_
_space_group_symop_operation_xyz
'x,y,z'
loop_
_atom_site_label
_atom_site_fract_x
_atom_site_fract_y
_atom_site_fract_z
_atom_site_occupancy
Ca1 0.006 0.000 0.206 1
Ca2 0.994 0.000 0.794 1
Cu1 0.500 0.500 0.000 1
Br1 0.000 0.500 0.500 1
```

A plane-wave DFT calculation with PBE was carried out for a relaxed structure of K2NaSc3F12.

Calculated values
Uncorrected formation energy: -3576 meV per atom

Structure (CIF):
```
data_K2NaSc3F12
_chemical_formula_sum 'K2 Na1 Sc3 F12'
_cell_length_a 7.554
_cell_length_b 7.554
_cell_length_c 7.554
_cell_angle_alpha 62.80
_cell_angle_beta 62.80
_cell_angle_gamma 62.80
_space_group_name_H-M_alt 'P 1'
_space_group_IT_number 1
loop_
_space_group_symop_operation_xyz
'x,y,z'
loop_
_atom_site_label
_atom_site_fract_x
_atom_site_fract_y
_atom_site_fract_z
_atom_site_occupancy
K1 0.146 0.146 0.146 1
K2 0.854 0.854 0.854 1
Na1 0.500 0.500 0.500 1
Sc1 0.000 0.500 0.500 1
Sc2 0.500 0.000 0.500 1
Sc3 0.500 0.500 0.000 1
F1 0.114 0.608 0.608 1
F2 0.207 0.207 0.581 1
F3 0.207 0.581 0.207 1
F4 0.392 0.392 0.886 1
F5 0.392 0.886 0.392 1
F6 0.419 0.793 0.793 1
F7 0.581 0.207 0.207 1
F8 0.608 0.114 0.608 1
F9 0.608 0.608 0.114 1
F10 0.793 0.419 0.793 1
F11 0.793 0.793 0.419 1
F12 0.886 0.392 0.392 1
```

A plane-wave DFT calculation with PBE was carried out for a relaxed structure of Sr4LiRe3O12.

Calculated values
Uncorrected formation energy: -2180 meV per atom

Structure (CIF):
```
data_Sr4LiRe3O12
_chemical_formula_sum 'Sr4 Li1 Re3 O12'
_cell_length_a 6.896
_cell_length_b 6.896
_cell_length_c 6.896
_cell_angle_alpha 109.47
_cell_angle_beta 109.47
_cell_angle_gamma 109.47
_space_group_name_H-M_alt 'P 1'
_space_group_IT_number 1
loop_
_space_group_symop_operation_xyz
'x,y,z'
loop_
_atom_site_label
_atom_site_fract_x
_atom_site_fract_y
_atom_site_fract_z
_atom_site_occupancy
Sr1 0.000 0.000 0.500 1
Sr2 0.000 0.500 0.000 1
Sr3 0.500 0.000 0.000 1
Sr4 0.500 0.500 0.500 1
Li1 0.000 0.000 0.000 1
Re1 0.000 0.500 0.500 1
Re2 0.500 0.000 0.500 1
Re3 0.500 0.500 0.000 1
O1 0.000 0.261 0.261 1
O2 0.000 0.739 0.739 1
O3 0.250 0.500 0.750 1
O4 0.250 0.750 0.500 1
O5 0.261 0.000 0.261 1
O6 0.261 0.261 0.000 1
O7 0.500 0.250 0.750 1
O8 0.500 0.750 0.250 1
O9 0.739 0.000 0.739 1
O10 0.739 0.739 0.000 1
O11 0.750 0.250 0.500 1
O12 0.750 0.500 0.250 1
```

Final energy values (in eV per atom) by entry order: -2.952, -7.362, -4.291, -3.548, -4.094, -3.121, -6.074, -7.454.